[1]
Li2CeHfSe4 | PBE | optimized geometry

Results
total DFT energy (no corrections) = -5.615 eV per atom
formation energy without anion corrections = -1.41 eV/atom
spin magnetization = 1.37 μB/f.u.
crystal system = monoclinic
DOS at the Fermi energy = 1.003 states/eV/atom
space-group type = P2/m

Unit cell a=6.888 b=3.940 c=6.939 alpha=90.00 beta=108.93 gamma=90.00
Fractional coordinates of all 8 atoms:
Li 0.000 0.000 0.000
Li 0.500 0.500 0.000
Ce 0.000 0.500 0.500
Hf 0.500 0.000 0.500
Se 0.270 0.500 0.252
Se 0.275 0.000 0.760
Se 0.725 0.000 0.240
Se 0.730 0.500 0.748

[2]
Pm4Nd5Cd | PBE | optimized geometry

Results
total DFT energy (no corrections) = -4.428 eV per atom
spin magnetization = 0.00 μB/f.u.
crystal system = tetragonal
calculated formation energy = -0.053 eV/atom
DOS at the Fermi energy = 1.230 states/eV/atom
space-group type = P4/mmm

Unit cell a=3.691 b=3.691 c=24.725 alpha=90.00 beta=90.00 gamma=90.00
Fractional coordinates of all 10 atoms:
Pm 0.000 0.000 0.104
Pm 0.000 0.000 0.312
Pm 0.000 0.000 0.688
Pm 0.000 0.000 0.896
Nd 0.500 0.500 0.000
Nd 0.500 0.500 0.208
Nd 0.500 0.500 0.415
Nd 0.500 0.500 0.585
Nd 0.500 0.500 0.792
Cd 0.000 0.000 0.500

[3]
Ca4Hg3 | PBE | optimized geometry

Results
total DFT energy (no corrections) = -1.506 eV per atom
spin magnetization = 0.00 μB/f.u.
crystal system = hexagonal
calculated formation energy = -0.233 eV/atom
DOS at the Fermi energy = 1.000 states/eV/atom
space-group type = P6/mmm

Unit cell a=6.260 b=6.260 c=6.318 alpha=90.00 beta=90.00 gamma=120.00
Fractional coordinates of all 7 atoms:
Ca 0.000 0.000 0.240
Ca 0.000 0.000 0.760
Ca 0.333 0.667 0.500
Ca 0.667 0.333 0.500
Hg 0.000 0.500 0.000
Hg 0.500 0.000 0.000
Hg 0.500 0.500 0.000

[4]
KCrPb2 | PBE | optimized geometry

Results
total DFT energy (no corrections) = -4.073 eV per atom
spin magnetization = 4.12 μB/f.u.
crystal system = tetragonal
calculated formation energy = 0.462 eV/atom
DOS at the Fermi energy = 0.803 states/eV/atom
space-group type = P4/mmm

Unit cell a=4.891 b=4.891 c=4.806 alpha=90.00 beta=90.00 gamma=90.00
Fractional coordinates of all 4 atoms:
K 0.000 0.000 0.000
Cr 0.500 0.500 0.000
Pb 0.000 0.500 0.500
Pb 0.500 0.000 0.500

[5]
Y4AlZnO | PBE | optimized geometry

Results
total DFT energy (no corrections) = -6.102 eV per atom
formation energy without anion corrections = -0.98 eV/atom
spin magnetization = 0.00 μB/f.u.
crystal system = orthorhombic
DOS at the Fermi energy = 0.596 states/eV/atom
space-group type = Cmcm

Unit cell a=8.386 b=8.386 c=6.548 alpha=90.00 beta=90.00 gamma=134.08
Fractional coordinates of all 14 atoms:
Y 0.000 0.500 0.000
Y 0.000 0.500 0.500
Y 0.071 0.929 0.750
Y 0.422 0.578 0.750
Y 0.500 0.000 0.000
Y 0.500 0.000 0.500
Y 0.578 0.422 0.250
Y 0.929 0.071 0.250
Al 0.384 0.616 0.250
Al 0.616 0.384 0.750
Zn 0.121 0.879 0.250
Zn 0.879 0.121 0.750
O 0.250 0.750 0.750
O 0.750 0.250 0.250

[6]
NpZnTe2 | PBE | optimized geometry

Results
total DFT energy (no corrections) = -5.322 eV per atom
formation energy without anion corrections = -0.20 eV/atom
spin magnetization = 4.57 μB/f.u.
crystal system = trigonal
DOS at the Fermi energy = 3.497 states/eV/atom
space-group type = R-3m

Unit cell a=9.191 b=9.191 c=9.191 alpha=27.58 beta=27.58 gamma=27.58
Fractional coordinates of all 4 atoms:
Np 0.000 0.000 0.000
Zn 0.500 0.500 0.500
Te 0.402 0.402 0.402
Te 0.598 0.598 0.598

[7]
Zn2InGa | PBE | optimized geometry

Results
total DFT energy (no corrections) = -2.012 eV per atom
spin magnetization = 0.00 μB/f.u.
crystal system = orthorhombic
calculated formation energy = 0.067 eV/atom
DOS at the Fermi energy = 0.248 states/eV/atom
space-group type = Cmcm

Unit cell a=5.573 b=5.573 c=7.023 alpha=90.00 beta=90.00 gamma=134.42
Fractional coordinates of all 8 atoms:
Zn 0.126 0.874 0.558
Zn 0.126 0.874 0.942
Zn 0.874 0.126 0.058
Zn 0.874 0.126 0.442
In 0.437 0.563 0.750
In 0.563 0.437 0.250
Ga 0.273 0.727 0.250
Ga 0.727 0.273 0.750

[8]
Rb12TeO6 | PBE | optimized geometry

Results
total DFT energy (no corrections) = -3.223 eV per atom
formation energy without anion corrections = -0.88 eV/atom
spin magnetization = 2.00 μB/f.u.
crystal system = trigonal
DOS at the Fermi energy = 0.413 states/eV/atom
space-group type = R-3

Unit cell a=9.267 b=9.267 c=9.267 alpha=108.82 beta=108.82 gamma=108.82
Fractional coordinates of all 19 atoms:
Rb 0.151 0.808 0.657
Rb 0.160 0.506 0.345
Rb 0.192 0.343 0.849
Rb 0.343 0.849 0.192
Rb 0.345 0.160 0.506
Rb 0.494 0.655 0.840
Rb 0.506 0.345 0.160
Rb 0.655 0.840 0.494
Rb 0.657 0.151 0.808
Rb 0.808 0.657 0.151
Rb 0.840 0.494 0.655
Rb 0.849 0.192 0.343
Te 0.000 0.000 0.000
O 0.142 0.491 0.640
O 0.360 0.858 0.509
O 0.491 0.640 0.142
O 0.509 0.360 0.858
O 0.640 0.142 0.491
O 0.858 0.509 0.360

[9]
TbEuCdIn | PBE | optimized geometry

Results
total DFT energy (no corrections) = -5.035 eV per atom
spin magnetization = 7.37 μB/f.u.
crystal system = cubic
calculated formation energy = -0.395 eV/atom
DOS at the Fermi energy = 2.307 states/eV/atom
space-group type = F-43m

Unit cell a=5.444 b=5.444 c=5.444 alpha=60.00 beta=60.00 gamma=60.00
Fractional coordinates of all 4 atoms:
Tb 0.000 0.000 0.000
Eu 0.500 0.500 0.500
Cd 0.750 0.750 0.750
In 0.250 0.250 0.250

[10]
NdP | PBE | optimized geometry

Results
total DFT energy (no corrections) = -6.627 eV per atom
spin magnetization = 0.00 μB/f.u.
crystal system = cubic
calculated formation energy = -1.538 eV/atom
DOS at the Fermi energy = 0.169 states/eV/atom
space-group type = Fm-3m

Unit cell a=4.168 b=4.168 c=4.168 alpha=60.00 beta=60.00 gamma=60.00
Fractional coordinates of all 2 atoms:
Nd 0.000 0.000 0.000
P 0.500 0.500 0.500

Copy entry 6 word for word.
NpZnTe2 | PBE | optimized geometry

Results
total DFT energy (no corrections) = -5.322 eV per atom
formation energy without anion corrections = -0.20 eV/atom
spin magnetization = 4.57 μB/f.u.
crystal system = trigonal
DOS at the Fermi energy = 3.497 states/eV/atom
space-group type = R-3m

Unit cell a=9.191 b=9.191 c=9.191 alpha=27.58 beta=27.58 gamma=27.58
Fractional coordinates of all 4 atoms:
Np 0.000 0.000 0.000
Zn 0.500 0.500 0.500
Te 0.402 0.402 0.402
Te 0.598 0.598 0.598

> Which of these has the highest spin magnetization?

TbEuCdIn

Please write out number 1 again, unchanged.
Li2CeHfSe4 | PBE | optimized geometry

Results
total DFT energy (no corrections) = -5.615 eV per atom
formation energy without anion corrections = -1.41 eV/atom
spin magnetization = 1.37 μB/f.u.
crystal system = monoclinic
DOS at the Fermi energy = 1.003 states/eV/atom
space-group type = P2/m

Unit cell a=6.888 b=3.940 c=6.939 alpha=90.00 beta=108.93 gamma=90.00
Fractional coordinates of all 8 atoms:
Li 0.000 0.000 0.000
Li 0.500 0.500 0.000
Ce 0.000 0.500 0.500
Hf 0.500 0.000 0.500
Se 0.270 0.500 0.252
Se 0.275 0.000 0.760
Se 0.725 0.000 0.240
Se 0.730 0.500 0.748

What did the sixth record say?
NpZnTe2 | PBE | optimized geometry

Results
total DFT energy (no corrections) = -5.322 eV per atom
formation energy without anion corrections = -0.20 eV/atom
spin magnetization = 4.57 μB/f.u.
crystal system = trigonal
DOS at the Fermi energy = 3.497 states/eV/atom
space-group type = R-3m

Unit cell a=9.191 b=9.191 c=9.191 alpha=27.58 beta=27.58 gamma=27.58
Fractional coordinates of all 4 atoms:
Np 0.000 0.000 0.000
Zn 0.500 0.500 0.500
Te 0.402 0.402 0.402
Te 0.598 0.598 0.598